1) Computed, not measured: crystalline Ce3TlHg at its relaxed geometry at the PBE-GGA level of DFT.

- Magnetization: 0.00 Bohr magnetons per cell

abc: 7.5065 4.1867 8.3813
angles: 90.00 90.45 90.00
With the nearest neighbours (Å) after each atom.
Element x y z (fractional)
Ce1 0.0996 0.2500 0.3652  2 Ce 2.75
Ce2 0.1171 0.7500 0.0334  2 Ce 2.79
Ce3 0.3233 0.7500 0.4407  2 Ce 2.75
Ce4 0.6767 0.2500 0.5593  2 Ce 2.75
Ce5 0.8829 0.2500 0.9666  2 Ce 2.79
Ce6 0.9004 0.7500 0.6348  2 Ce 2.75
Tl1 0.4680 0.2500 0.1509  2 Hg 3.20, 6 Ce 3.31-3.50, 2 Tl 3.32
Tl2 0.5320 0.7500 0.8491  2 Hg 3.20, 6 Ce 3.31-3.50, 2 Tl 3.32
Hg1 0.2340 0.2500 0.7374  2 Tl 3.20, 8 Ce 3.27-3.37
Hg2 0.7660 0.7500 0.2626  2 Tl 3.20, 8 Ce 3.27-3.37

---

2) Computed, not measured: crystalline Ce3TlHg at its relaxed geometry at the PBE-GGA level of DFT.

- Magnetization: 5.98 Bohr magnetons per cell

abc: 9.7397 9.7397 3.3615
angles: 90.00 90.00 114.08
With the nearest neighbours (Å) after each atom.
Element x y z (fractional)
Ce1 0.1776 0.3440 0.0000  1 Ce 2.72
Ce2 0.1943 0.8057 0.0000  4 Hg 3.27, 4 Ce 3.31-3.36, 2 Tl 3.59
Ce3 0.3440 0.1776 0.0000  1 Ce 2.72
Ce4 0.6560 0.8224 0.0000  1 Ce 2.72
Ce5 0.8057 0.1943 0.0000  4 Hg 3.27, 4 Ce 3.31-3.36, 2 Tl 3.59
Ce6 0.8224 0.6560 0.0000  1 Ce 2.72
Tl1 0.0000 0.0000 0.5000  2 Tl 3.36, 12 Ce 3.51-3.59
Tl2 0.5000 0.5000 0.5000  8 Ce 3.33, 2 Tl 3.36
Hg1 0.0000 0.5000 0.5000  8 Ce 3.20-3.27, 2 Hg 3.36
Hg2 0.5000 0.0000 0.5000  8 Ce 3.20-3.27, 2 Hg 3.36

---

Which structure is the least stable? The one labeled 2).

---

1) Computed, not measured: crystalline CeTlHg4 at its relaxed geometry at the PBE-GGA level of DFT.

- Magnetization: 2.07 Bohr magnetons per cell

abc: 9.5841 9.5841 5.1636
angles: 90.00 90.00 138.21
With the nearest neighbours (Å) after each atom.
Element x y z (fractional)
Ce1 0.1255 0.8745 0.7500  12 Hg 3.38-3.46, 2 Tl 3.42
Ce2 0.8745 0.1255 0.2500  12 Hg 3.38-3.46, 2 Tl 3.42
Tl1 0.3807 0.6193 0.2500  2 Ce 3.42, 12 Hg 3.43-3.54
Tl2 0.6193 0.3807 0.7500  2 Ce 3.42, 12 Hg 3.43-3.54
Hg1 0.0255 0.4447 0.7500  4 Hg 2.97-3.22
Hg2 0.1897 0.2748 0.7500  4 Hg 2.99-3.18
Hg3 0.2748 0.1897 0.2500  4 Hg 2.99-3.18
Hg4 0.4447 0.0255 0.2500  4 Hg 2.97-3.22
Hg5 0.5553 0.9745 0.7500  4 Hg 2.97-3.22
Hg6 0.7252 0.8103 0.7500  4 Hg 2.99-3.18
Hg7 0.8103 0.7252 0.2500  4 Hg 2.99-3.18
Hg8 0.9745 0.5553 0.2500  4 Hg 2.97-3.22

---

2) Computed, not measured: crystalline CeTlHg4 at its relaxed geometry at the PBE-GGA level of DFT.

- Magnetization: 1.38 Bohr magnetons per cell

abc: 4.4858 4.4728 9.4144
angles: 90.00 90.06 90.00
With the nearest neighbours (Å) after each atom.
Element x y z (fractional)
Ce1 0.0000 0.0000 0.0000  8 Hg 3.23
Tl1 0.5000 0.5000 0.5000  8 Hg 3.26-3.27
Hg1 0.0002 0.5000 0.2478  4 Hg 3.17, 2 Ce 3.23, 2 Tl 3.26-3.27
Hg2 0.9998 0.5000 0.7522  4 Hg 3.17, 2 Ce 3.23, 2 Tl 3.26-3.27
Hg3 0.4999 0.0000 0.2470  4 Hg 3.17, 2 Ce 3.23, 2 Tl 3.27
Hg4 0.5001 0.0000 0.7530  4 Hg 3.17, 2 Ce 3.23, 2 Tl 3.27

---

3) Computed, not measured: crystalline CeTlHg4 at its relaxed geometry at the PBE-GGA level of DFT.

- Magnetization: 1.44 Bohr magnetons per cell

abc: 6.1129 6.1129 6.1129
angles: 60.00 60.00 60.00
With the nearest neighbours (Å) after each atom.
Element x y z (fractional)
Ce1 0.0000 0.0000 0.0000  12 Hg 3.58, 4 Tl 3.74
Tl1 0.7500 0.7500 0.7500  12 Hg 3.58, 4 Ce 3.74
Hg1 0.3748 0.3748 0.3748  6 Hg 3.05-3.06
Hg2 0.3748 0.3748 0.8757  6 Hg 3.05-3.06
Hg3 0.3748 0.8757 0.3748  6 Hg 3.05-3.06
Hg4 0.8757 0.3748 0.3748  6 Hg 3.05-3.06

---

Which structure is the least stable? The one labeled 2).

---

1) Computed, not measured: crystalline CeTlHg at its relaxed geometry at the PBE-GGA level of DFT.

- Magnetization: 1.44 Bohr magnetons per cell

abc: 5.1348 5.1348 3.5584
angles: 90.00 90.00 120.00
With the nearest neighbours (Å) after each atom.
Element x y z (fractional)
Ce1 0.0000 0.0000 0.0000  6 Hg 3.37-3.55, 6 Tl 3.39-3.53, 2 Ce 3.56
Tl1 0.3333 0.6667 0.4629  3 Hg 2.98
Hg1 0.6667 0.3333 0.5499  3 Tl 2.98

---

2) Computed, not measured: crystalline CeTlHg at its relaxed geometry at the PBE-GGA level of DFT.

- Magnetization: 2.86 Bohr magnetons per cell

abc: 3.6907 3.6907 12.1927
angles: 90.00 90.00 90.00
With the nearest neighbours (Å) after each atom.
Element x y z (fractional)
Ce1 0.0000 0.0000 0.0000  4 Hg 3.27, 4 Tl 3.42
Ce2 0.5000 0.5000 0.5000  4 Hg 3.27, 4 Tl 3.42
Tl1 0.0000 0.0000 0.6819  4 Hg 3.23, 4 Ce 3.42
Tl2 0.5000 0.5000 0.1819  4 Hg 3.23, 4 Ce 3.42
Hg1 0.0000 0.0000 0.3381  4 Tl 3.23, 4 Ce 3.27
Hg2 0.5000 0.5000 0.8381  4 Tl 3.23, 4 Ce 3.27

---

Which structure is the least stable? The one labeled 2).

---

1) Computed, not measured: crystalline CeTlHg at its relaxed geometry at the PBE-GGA level of DFT.

- Magnetization: 4.04 Bohr magnetons per cell

abc: 12.2260 4.8769 6.6615
angles: 90.00 122.37 90.00
With the nearest neighbours (Å) after each atom.
Element x y z (fractional)
Ce1 0.1779 0.0000 0.2298  4 Hg 3.14-3.42, 2 Tl 3.32
Ce2 0.3221 0.5000 0.7702  4 Hg 3.14-3.42, 2 Tl 3.32
Ce3 0.6779 0.5000 0.2298  4 Hg 3.14-3.42, 2 Tl 3.32
Ce4 0.8221 0.0000 0.7702  4 Hg 3.14-3.42, 2 Tl 3.32
Tl1 0.0015 0.5000 0.7540  2 Hg 3.11, 2 Tl 3.30-3.36, 2 Ce 3.32
Tl2 0.4985 0.0000 0.2460  2 Hg 3.11, 2 Tl 3.30-3.36, 2 Ce 3.32
Tl3 0.5015 0.0000 0.7540  2 Hg 3.11, 2 Tl 3.30-3.36, 2 Ce 3.32
Tl4 0.9985 0.5000 0.2460  2 Hg 3.11, 2 Tl 3.30-3.36, 2 Ce 3.32
Hg1 0.1442 0.0000 0.7077  1 Hg 3.11, 2 Tl 3.11, 4 Ce 3.14-3.42
Hg2 0.3558 0.5000 0.2923  1 Hg 3.11, 2 Tl 3.11, 4 Ce 3.14-3.42
Hg3 0.6442 0.5000 0.7077  1 Hg 3.11, 2 Tl 3.11, 4 Ce 3.14-3.42
Hg4 0.8558 0.0000 0.2923  1 Hg 3.11, 2 Tl 3.11, 4 Ce 3.14-3.42

---

2) Computed, not measured: crystalline CeTlHg at its relaxed geometry at the PBE-GGA level of DFT.

- Magnetization: 1.71 Bohr magnetons per cell

abc: 5.3469 5.3469 6.6558
angles: 90.00 90.00 120.00
With the nearest neighbours (Å) after each atom.
Element x y z (fractional)
Ce1 0.3333 0.6667 0.2500  5 Hg 3.09-3.33
Ce2 0.6667 0.3333 0.7500  5 Hg 3.09-3.33
Tl1 0.0000 0.0000 0.0000  2 Tl 3.33, 6 Hg 3.51, 6 Ce 3.51
Tl2 0.0000 0.0000 0.5000  2 Tl 3.33, 6 Hg 3.51, 6 Ce 3.51
Hg1 0.3333 0.6667 0.7500  5 Ce 3.09-3.33
Hg2 0.6667 0.3333 0.2500  5 Ce 3.09-3.33

---

Which structure is the least stable? The one labeled 1).

---

1) Computed, not measured: crystalline Ce4Tl3Hg2 at its relaxed geometry at the PBE-GGA level of DFT.

- Magnetization: 10.37 Bohr magnetons per cell

abc: 8.3363 8.3363 10.6911
angles: 90.00 90.00 134.96
With the nearest neighbours (Å) after each atom.
Element x y z (fractional)
Ce1 0.1880 0.3120 0.2500  2 Ce 3.19, 2 Tl 3.26, 2 Hg 3.32
Ce2 0.2091 0.7909 0.9828  1 Hg 3.04, 5 Tl 3.23-3.36
Ce3 0.2909 0.7091 0.4828  1 Hg 3.04, 5 Tl 3.23-3.36
Ce4 0.3120 0.1880 0.7500  2 Ce 3.19, 2 Tl 3.26, 2 Hg 3.32
Ce5 0.6880 0.8120 0.2500  2 Ce 3.19, 2 Tl 3.26, 2 Hg 3.32
Ce6 0.7091 0.2909 0.5172  1 Hg 3.04, 5 Tl 3.23-3.36
Ce7 0.7909 0.2091 0.0172  1 Hg 3.04, 5 Tl 3.23-3.36
Ce8 0.8120 0.6880 0.7500  2 Ce 3.19, 2 Tl 3.26, 2 Hg 3.32
Tl1 0.0000 0.0000 0.0000  6 Ce 3.23-3.26, 4 Hg 3.51
Tl2 0.0631 0.4369 0.7500  2 Tl 3.19, 2 Hg 3.28, 4 Ce 3.29-3.36
Tl3 0.4369 0.0631 0.2500  2 Tl 3.19, 2 Hg 3.28, 4 Ce 3.29-3.36
Tl4 0.5000 0.5000 0.5000  6 Ce 3.23-3.26, 4 Hg 3.51
Tl5 0.5631 0.9369 0.7500  2 Tl 3.19, 2 Hg 3.28, 4 Ce 3.29-3.36
Tl6 0.9369 0.5631 0.2500  2 Tl 3.19, 2 Hg 3.28, 4 Ce 3.29-3.36
Hg1 0.0935 0.9065 0.4820  1 Hg 2.91, 1 Ce 3.04
Hg2 0.4065 0.5935 0.9820  1 Hg 2.91, 1 Ce 3.04
Hg3 0.5935 0.4065 0.0180  1 Hg 2.91, 1 Ce 3.04
Hg4 0.9065 0.0935 0.5180  1 Hg 2.91, 1 Ce 3.04

---

2) Computed, not measured: crystalline Ce4Tl3Hg2 at its relaxed geometry at the PBE-GGA level of DFT.

- Magnetization: 4.25 Bohr magnetons per cell

abc: 5.4063 5.4063 10.1206
angles: 90.07 90.07 59.93
With the nearest neighbours (Å) after each atom.
Element x y z (fractional)
Ce1 0.0002 0.0002 0.1375  1 Ce 2.78
Ce2 0.9998 0.9998 0.8625  1 Ce 2.78
Ce3 0.3331 0.3331 0.6178  4 Hg 3.26-3.33, 4 Tl 3.34-3.42
Ce4 0.6669 0.6669 0.3822  4 Hg 3.26-3.33, 4 Tl 3.34-3.42
Tl1 0.0000 0.0000 0.5000  8 Ce 3.34-3.67
Tl2 0.3332 0.3332 0.9562  3 Tl 3.24-3.25, 7 Ce 3.26-3.62, 1 Hg 3.36
Tl3 0.6668 0.6668 0.0438  3 Tl 3.24-3.25, 7 Ce 3.26-3.62, 1 Hg 3.36
Hg1 0.3337 0.3337 0.2884  7 Ce 3.26-3.48, 1 Tl 3.36
Hg2 0.6663 0.6663 0.7116  7 Ce 3.26-3.48, 1 Tl 3.36

---

Which structure is the least stable? The one labeled 1).